This record from the Alexandria database describes an optimized crystal structure of H8SI5. The functional is PBE.

Calculated values
The space group is I-4. As for the density of states at the Fermi level: 0.256 states/eV/cell. The value obtained for the calculated total energy is -2.619 eV/atom.

POSCAR file:
```
H8SI5
1.0
-4.790 4.790 4.312
4.790 -4.790 4.312
4.790 4.790 -4.312
H S I
8 1 5
Direct
0.056 0.847 0.966
0.153 0.119 0.209
0.195 0.660 0.740
0.340 0.080 0.535
0.545 0.805 0.465
0.881 0.090 0.034
0.910 0.944 0.791
0.920 0.455 0.260
0.000 0.000 0.000
0.151 0.604 0.918
0.250 0.750 0.500
0.396 0.314 0.548
0.686 0.234 0.082
0.766 0.849 0.452
```

This record from the Alexandria database describes an optimized crystal structure of SrY2Ta. The functional is PBE.

Calculated values
The space group is Imm2. Its formation enthalpy at 0 K is 0.64 eV per atom. The value obtained for the energy above the lowest structure with this stoichiometry is 283.7 meV/atom. As for the density of states at the Fermi level: 4.740 states/eV/cell. The value obtained for the calculated total energy is -5.973 eV/atom.

POSCAR file:
```
SrY2Ta
1.0
-1.909 2.790 5.848
1.909 -2.790 5.848
1.909 2.790 -5.848
Sr Y Ta
1 2 1
Direct
0.000 0.000 0.000
0.429 0.429 0.000
0.716 0.216 0.500
0.233 0.733 0.500
```